(1)
A plane-wave DFT calculation with PBE-GGA was carried out for a relaxed LiNb2O6 crystal.

Results
**Formation energy from raw total energies**: -2.221 eV per atom
**M_tot**: 1.99 μB/cell
**Final energy**: -7.98 eV per atom

```
data_LiNb2O6
_chemical_formula_sum 'Li2 Nb4 O12'
_symmetry_space_group_name_H-M 'P 42/m n m'
_symmetry_Int_Tables_number 136
_symmetry_space_group_name_Hall '-P 4n 2n'
_cell_length_a 4.857
_cell_length_b 4.857
_cell_length_c 9.422
_cell_angle_alpha 90.00
_cell_angle_beta 90.00
_cell_angle_gamma 90.00
loop_
_atom_site_label
_atom_site_fract_x
_atom_site_fract_y
_atom_site_fract_z
Li1 0.000 0.000 0.000
Nb1 0.000 0.000 0.337
O1 0.188 0.188 0.500
O2 0.211 0.211 0.187
```



(2)
A plane-wave DFT calculation with PBE-GGA was carried out for a relaxed LiNb2O5 crystal.

Results
**Formation energy from raw total energies**: -2.453 eV per atom
**M_tot**: 0.00 μB/cell
**Final energy**: -8.31 eV per atom

```
data_LiNb2O5
_chemical_formula_sum 'Li4 Nb8 O20'
_symmetry_space_group_name_H-M 'C m c m'
_symmetry_Int_Tables_number 63
_symmetry_space_group_name_Hall '-C 2c 2'
_cell_length_a 3.934
_cell_length_b 10.041
_cell_length_c 10.597
_cell_angle_alpha 90.00
_cell_angle_beta 90.00
_cell_angle_gamma 90.00
loop_
_atom_site_label
_atom_site_fract_x
_atom_site_fract_y
_atom_site_fract_z
Li1 0.000 0.180 0.250
Nb1 0.000 0.138 0.574
O1 0.000 0.043 0.114
O2 0.000 0.209 0.750
O3 0.000 0.314 0.054
```



(3)
A plane-wave DFT calculation with PBE-GGA was carried out for a relaxed LiNbO3 crystal.

Results
**Formation energy from raw total energies**: -2.457 eV per atom
**M_tot**: 0.00 μB/cell
**Final energy**: -7.83 eV per atom

```
data_LiNbO3
_chemical_formula_sum 'Li8 Nb8 O24'
_symmetry_space_group_name_H-M 'P b c m'
_symmetry_Int_Tables_number 57
_symmetry_space_group_name_Hall '-P 2c 2b'
_cell_length_a 5.303
_cell_length_b 5.554
_cell_length_c 15.132
_cell_angle_alpha 90.00
_cell_angle_beta 90.00
_cell_angle_gamma 90.00
loop_
_atom_site_label
_atom_site_fract_x
_atom_site_fract_y
_atom_site_fract_z
Li1 0.239 0.250 0.000
Li2 0.249 0.223 0.250
Nb1 0.259 0.741 0.125
O1 0.067 0.035 0.655
O2 0.132 0.750 0.000
O3 0.365 0.681 0.750
O4 0.432 0.086 0.095
```



(4)
A plane-wave DFT calculation with PBE-GGA was carried out for a relaxed LiNb7O12 crystal.

Results
**Formation energy from raw total energies**: -2.292 eV per atom
**M_tot**: 0.00 μB/cell
**Final energy**: -8.89 eV per atom

```
data_LiNb7O12
_chemical_formula_sum 'Li4 Nb28 O48'
_symmetry_space_group_name_H-M 'P 1 21/c 1'
_symmetry_Int_Tables_number 14
_symmetry_space_group_name_Hall '-P 2ybc'
_cell_length_a 10.830
_cell_length_b 9.619
_cell_length_c 10.385
_cell_angle_alpha 90.00
_cell_angle_beta 104.59
_cell_angle_gamma 90.00
loop_
_atom_site_label
_atom_site_fract_x
_atom_site_fract_y
_atom_site_fract_z
Li1 0.085 0.069 0.470
Nb1 0.077 0.121 0.811
Nb2 0.089 0.628 0.463
Nb3 0.214 0.623 0.253
Nb4 0.222 0.119 0.093
Nb5 0.347 0.129 0.881
Nb6 0.359 0.633 0.538
Nb7 0.499 0.609 0.841
O1 0.070 0.503 0.634
O2 0.071 0.237 0.983
O3 0.076 0.001 0.644
O4 0.077 0.748 0.298
O5 0.212 0.249 0.266
O6 0.222 0.750 0.087
O7 0.359 0.008 0.710
O8 0.359 0.249 0.052
O9 0.363 0.506 0.715
O10 0.367 0.747 0.373
O11 0.495 0.235 0.822
O12 0.500 0.000 0.000
O13 0.500 0.000 0.500
```



(5)
A plane-wave DFT calculation with PBE-GGA was carried out for a relaxed LiNbO3 crystal.

Results
**Formation energy from raw total energies**: -2.486 eV per atom
**M_tot**: 0.00 μB/cell
**Final energy**: -7.86 eV per atom

```
data_LiNbO3
_chemical_formula_sum 'Li6 Nb6 O18'
_symmetry_space_group_name_H-M 'R 3 c'
_symmetry_Int_Tables_number 161
_symmetry_space_group_name_Hall 'R 3 -2"c'
_cell_length_a 5.2216
_cell_length_b 5.2216
_cell_length_c 14.1319
_cell_angle_alpha 90.00
_cell_angle_beta 90.00
_cell_angle_gamma 120.00
loop_
_atom_site_label
_atom_site_fract_x
_atom_site_fract_y
_atom_site_fract_z
Li1 0.0000 0.0000 0.0000
Nb1 0.0000 0.0000 0.2821
O1 0.0100 0.3797 0.0528
```



(6)
A plane-wave DFT calculation with PBE-GGA was carried out for a relaxed Li2Nb2O5 crystal.

Results
**Formation energy from raw total energies**: -2.196 eV per atom
**M_tot**: 0.00 μB/cell
**Final energy**: -7.61 eV per atom

```
data_Li2Nb2O5
_chemical_formula_sum 'Li8 Nb8 O20'
_symmetry_space_group_name_H-M 'I m m a'
_symmetry_Int_Tables_number 74
_symmetry_space_group_name_Hall '-I 2b 2'
_cell_length_a 5.380
_cell_length_b 15.849
_cell_length_c 4.927
_cell_angle_alpha 90.00
_cell_angle_beta 90.00
_cell_angle_gamma 90.00
loop_
_atom_site_label
_atom_site_fract_x
_atom_site_fract_y
_atom_site_fract_z
Li1 0.000 0.000 0.000
Li2 0.000 0.250 0.086
Nb1 0.000 0.132 0.550
O1 0.000 0.250 0.663
O2 0.250 0.058 0.750
O3 0.250 0.153 0.250
```



(7)
A plane-wave DFT calculation with PBE-GGA was carried out for a relaxed Li2NbO3 crystal.

Results
**Formation energy from raw total energies**: -2.261 eV per atom
**M_tot**: 0.00 μB/cell
**Final energy**: -7.06 eV per atom

```
data_Li2NbO3
_chemical_formula_sum 'Li8 Nb4 O12'
_symmetry_space_group_name_H-M 'C 1 2/c 1'
_symmetry_Int_Tables_number 15
_symmetry_space_group_name_Hall '-C 2yc'
_cell_length_a 5.358
_cell_length_b 8.852
_cell_length_c 5.173
_cell_angle_alpha 90.00
_cell_angle_beta 111.45
_cell_angle_gamma 90.00
loop_
_atom_site_label
_atom_site_fract_x
_atom_site_fract_y
_atom_site_fract_z
Li1 0.000 0.080 0.250
Li2 0.000 0.238 0.750
Nb1 0.000 0.416 0.250
O1 0.241 0.419 0.001
O2 0.250 0.250 0.500
```



(8)
A plane-wave DFT calculation with PBE-GGA was carried out for a relaxed Li8NbO6 crystal.

Results
**Formation energy from raw total energies**: -1.980 eV per atom
**M_tot**: 1.00 μB/cell
**Final energy**: -5.66 eV per atom

```
data_Li8NbO6
_chemical_formula_sum 'Li8 Nb1 O6'
_symmetry_space_group_name_H-M 'P -1'
_symmetry_Int_Tables_number 2
_symmetry_space_group_name_Hall '-P 1'
_cell_length_a 5.446
_cell_length_b 5.512
_cell_length_c 6.037
_cell_angle_alpha 90.66
_cell_angle_beta 116.24
_cell_angle_gamma 119.40
loop_
_atom_site_label
_atom_site_fract_x
_atom_site_fract_y
_atom_site_fract_z
Li1 0.091 0.103 0.356
Li2 0.194 0.358 0.025
Li3 0.240 0.506 0.636
Li4 0.371 0.765 0.361
Nb1 0.500 0.000 0.000
O1 0.022 0.611 0.759
O2 0.345 0.235 0.757
O3 0.365 0.093 0.244
```



(9)
A plane-wave DFT calculation with PBE-GGA was carried out for a relaxed Li5NbO6 crystal.

Results
**Formation energy from raw total energies**: -1.916 eV per atom
**M_tot**: 4.06 μB/cell
**Final energy**: -6.03 eV per atom

```
data_Li5NbO6
_chemical_formula_sum 'Li10 Nb2 O12'
_symmetry_space_group_name_H-M 'C 1 2/m 1'
_symmetry_Int_Tables_number 12
_symmetry_space_group_name_Hall '-C 2y'
_cell_length_a 5.186
_cell_length_b 8.984
_cell_length_c 5.129
_cell_angle_alpha 90.00
_cell_angle_beta 109.54
_cell_angle_gamma 90.00
loop_
_atom_site_label
_atom_site_fract_x
_atom_site_fract_y
_atom_site_fract_z
Li1 0.000 0.000 0.000
Li2 0.000 0.168 0.500
Li3 0.000 0.316 0.000
Nb1 0.000 0.500 0.500
O1 0.237 0.342 0.741
O2 0.241 0.500 0.263
```



(10)
A plane-wave DFT calculation with PBE-GGA was carried out for a relaxed Li6NbO6 crystal.

Results
**Formation energy from raw total energies**: -1.966 eV per atom
**M_tot**: 4.21 μB/cell
**Final energy**: -5.91 eV per atom

```
data_Li6NbO6
_chemical_formula_sum 'Li24 Nb4 O24'
_symmetry_space_group_name_H-M 'C 1 2/c 1'
_symmetry_Int_Tables_number 15
_symmetry_space_group_name_Hall '-C 2yc'
_cell_length_a 6.278
_cell_length_b 8.848
_cell_length_c 9.096
_cell_angle_alpha 90.00
_cell_angle_beta 90.55
_cell_angle_gamma 90.00
loop_
_atom_site_label
_atom_site_fract_x
_atom_site_fract_y
_atom_site_fract_z
Li1 0.058 0.044 0.123
Li2 0.091 0.363 0.864
Li3 0.190 0.403 0.167
Nb1 0.250 0.250 0.500
O1 0.039 0.164 0.943
O2 0.111 0.427 0.400
O3 0.233 0.131 0.309
```



(11)
A plane-wave DFT calculation with PBE-GGA was carried out for a relaxed Li3NbO4 crystal.

Results
**Formation energy from raw total energies**: -2.370 eV per atom
**M_tot**: 0.00 μB/cell
**Excess energy over the best structure of this formula in the dataset**: 0.07 eV/f.u.
**Final energy**: -6.83 eV per atom

```
data_Li3NbO4
_chemical_formula_sum 'Li24 Nb8 O32'
_symmetry_space_group_name_H-M 'I -4 3 m'
_symmetry_Int_Tables_number 217
_symmetry_space_group_name_Hall 'I -4 2 3'
_cell_length_a 8.527
_cell_length_b 8.527
_cell_length_c 8.527
_cell_angle_alpha 90.00
_cell_angle_beta 90.00
_cell_angle_gamma 90.00
loop_
_atom_site_label
_atom_site_fract_x
_atom_site_fract_y
_atom_site_fract_z
Li1 0.108 0.378 0.622
Nb1 0.141 0.141 0.859
O1 0.114 0.114 0.114
O2 0.123 0.123 0.637
```



(12)
A plane-wave DFT calculation with PBE-GGA was carried out for a relaxed LiNb10O18 crystal.

Results
**Formation energy from raw total energies**: -2.343 eV per atom
**M_tot**: 2.04 μB/cell
**Final energy**: -8.96 eV per atom

```
data_LiNb10O18
_chemical_formula_sum 'Li2 Nb20 O36'
_symmetry_space_group_name_H-M 'P 1 21/c 1'
_symmetry_Int_Tables_number 14
_symmetry_space_group_name_Hall '-P 2ybc'
_cell_length_a 7.929
_cell_length_b 9.482
_cell_length_c 10.409
_cell_angle_alpha 90.00
_cell_angle_beta 110.37
_cell_angle_gamma 90.00
loop_
_atom_site_label
_atom_site_fract_x
_atom_site_fract_y
_atom_site_fract_z
Li1 0.000 0.000 0.000
Nb1 0.004 0.116 0.669
Nb2 0.180 0.630 0.122
Nb3 0.197 0.127 0.482
Nb4 0.396 0.114 0.272
Nb5 0.397 0.629 0.439
O1 0.009 0.238 0.850
O2 0.197 0.748 0.460
O3 0.198 0.007 0.302
O4 0.200 0.512 0.304
O5 0.203 0.248 0.147
O6 0.393 0.008 0.098
O7 0.400 0.503 0.107
O8 0.411 0.736 0.273
O9 0.418 0.245 0.432
```



Among the records above, which one has the lowest final energy? LiNb10O18